1.
The following is a PBE calculation of a geometry-optimized K2SrAu structure, from the Alexandria database.

```
data_K2SrAu
_space_group_name_H-M_alt 'C 1 2/m 1'
_space_group_IT_number 12
_cell_length_a 6.8125
_cell_length_b 13.7846
_cell_length_c 4.9142
_cell_angle_alpha 90.00
_cell_angle_beta 133.63
_cell_angle_gamma 90.00
loop_
_space_group_symop_operation_xyz
'x,y,z'
'-x,-y,-z'
'-x,y,-z'
'x,-y,z'
'x+1/2,y+1/2,z'
'-x+1/2,-y+1/2,-z'
'-x+1/2,y+1/2,-z'
'x+1/2,-y+1/2,z'
loop_
_atom_site_label
_atom_site_fract_x
_atom_site_fract_y
_atom_site_fract_z
K1 0.2500 0.2500 0.0000
Sr1 0.0000 0.0000 0.5000
Au1 0.0000 0.5000 0.5000
```

VASP energy = -1.80 eV per atom
polymorph energy (0 for the lowest one) = 0.259 eV/atom
energy of formation = -6 kJ/mol of formula units
calculated volume = 334.0 Å³/cell

2.
The following is a PBE calculation of a geometry-optimized Mg2Pd7Pb structure, from the Alexandria database.

```
data_Mg2Pd7Pb
_space_group_name_H-M_alt 'C m m m'
_space_group_IT_number 65
_space_group_name_Hall '-C 2 2'
_cell_length_a 7.2953
_cell_length_b 13.2965
_cell_length_c 4.3403
_cell_angle_alpha 90.00
_cell_angle_beta 90.00
_cell_angle_gamma 90.00
loop_
_atom_site_label
_atom_site_fract_x
_atom_site_fract_y
_atom_site_fract_z
Mg1 0.0000 0.1990 0.0000
Pd1 0.0000 0.0000 0.0000
Pd2 0.0000 0.2994 0.5000
Pd3 0.1858 0.3920 0.0000
Pb1 0.0000 0.5000 0.5000
```

VASP energy = -4.25 eV per atom
energy of formation = 74 kJ/mol of formula units
calculated volume = 421.0 Å³/cell

3.
The following is a PBE calculation of a geometry-optimized Tb2ZrGa2Rh5 structure, from the Alexandria database.

```
data_Tb2ZrGa2Rh5
_space_group_name_H-M_alt 'P 4/m b m'
_space_group_IT_number 127
_space_group_name_Hall '-P 4 2ab'
_cell_length_a 9.9531
_cell_length_b 9.9531
_cell_length_c 3.5706
_cell_angle_alpha 90.00
_cell_angle_beta 90.00
_cell_angle_gamma 90.00
loop_
_atom_site_label
_atom_site_fract_x
_atom_site_fract_y
_atom_site_fract_z
Tb1 0.1727 0.3273 0.0000
Zr1 0.0000 0.0000 0.0000
Ga1 0.1245 0.6245 0.0000
Rh1 0.0000 0.5000 0.5000
Rh2 0.0682 0.7932 0.5000
```

VASP energy = -6.91 eV per atom
energy of formation = -819 kJ/mol of formula units
calculated volume = 353.7 Å³/cell

4.
The following is a PBE calculation of a geometry-optimized TcNi2 structure, from the Alexandria database.

```
data_TcNi2
_space_group_name_H-M_alt 'C m c m'
_space_group_IT_number 63
_space_group_name_Hall '-C 2c 2'
_cell_length_a 2.5577
_cell_length_b 13.5524
_cell_length_c 4.1680
_cell_angle_alpha 90.00
_cell_angle_beta 90.00
_cell_angle_gamma 90.00
loop_
_atom_site_label
_atom_site_fract_x
_atom_site_fract_y
_atom_site_fract_z
Tc1 0.0000 0.1143 0.2500
Ni1 0.0000 0.2199 0.7500
Ni2 0.0000 0.4476 0.2500
```

VASP energy = -7.31 eV per atom
polymorph energy (0 for the lowest one) = 0.036 eV/atom
energy of formation = 0 kJ/mol of formula units
calculated volume = 144.5 Å³/cell

5.
The following is a PBE calculation of a geometry-optimized NaGa2RePt structure, from the Alexandria database.

```
data_NaGa2RePt
_space_group_name_H-M_alt 'P 4/m m m'
_space_group_IT_number 123
_space_group_name_Hall '-P 4 2'
_cell_length_a 4.7902
_cell_length_b 4.7902
_cell_length_c 5.2654
_cell_angle_alpha 90.00
_cell_angle_beta 90.00
_cell_angle_gamma 90.00
loop_
_atom_site_label
_atom_site_fract_x
_atom_site_fract_y
_atom_site_fract_z
Na1 0.0000 0.0000 0.0000
Ga1 0.0000 0.5000 0.5000
Re1 0.0000 0.0000 0.5000
Pt1 0.5000 0.5000 0.0000
```

VASP energy = -4.02 eV per atom
polymorph energy (0 for the lowest one) = 0.000 eV/atom
energy of formation = 556 kJ/mol of formula units
calculated volume = 120.8 Å³/cell

6.
The following is a PBE calculation of a geometry-optimized KPrCdPb structure, from the Alexandria database.

```
data_KPrCdPb
_space_group_name_H-M_alt 'F -4 3 m'
_space_group_IT_number 216
_space_group_name_Hall 'F -4 2 3'
_cell_length_a 8.0170
_cell_length_b 8.0170
_cell_length_c 8.0170
_cell_angle_alpha 90.00
_cell_angle_beta 90.00
_cell_angle_gamma 90.00
loop_
_atom_site_label
_atom_site_fract_x
_atom_site_fract_y
_atom_site_fract_z
K1 0.0000 0.0000 0.0000
Pr1 0.0000 0.0000 0.5000
Cd1 0.2500 0.2500 0.7500
Pb1 0.2500 0.2500 0.2500
```

VASP energy = -2.82 eV per atom
energy of formation = -73 kJ/mol of formula units
calculated volume = 515.3 Å³/cell

7.
The following is a PBE calculation of a geometry-optimized CsCd3Se structure, from the Alexandria database.

```
data_CsCd3Se
_space_group_name_H-M_alt 'P m -3 m'
_space_group_IT_number 221
_space_group_name_Hall '-P 4 2 3'
_cell_length_a 7.2069
_cell_length_b 7.2069
_cell_length_c 7.2069
_cell_angle_alpha 90.00
_cell_angle_beta 90.00
_cell_angle_gamma 90.00
loop_
_atom_site_label
_atom_site_fract_x
_atom_site_fract_y
_atom_site_fract_z
Cs1 0.0000 0.0000 0.0000
Cd1 0.0000 0.0000 0.5000
Se1 0.5000 0.5000 0.5000
```

VASP energy = -0.77 eV per atom
polymorph energy (0 for the lowest one) = 0.575 eV/atom
energy relative to the elements, uncorrected = 651 meV per atom
calculated volume = 374.3 Å³/cell

8.
The following is a PBE calculation of a geometry-optimized Zn6Ag6Bi structure, from the Alexandria database.

```
data_Zn6Ag6Bi
_space_group_name_H-M_alt 'I m m m'
_space_group_IT_number 71
_space_group_name_Hall '-I 2 2'
_cell_length_a 5.2532
_cell_length_b 9.1535
_cell_length_c 9.4247
_cell_angle_alpha 90.00
_cell_angle_beta 90.00
_cell_angle_gamma 90.00
loop_
_atom_site_label
_atom_site_fract_x
_atom_site_fract_y
_atom_site_fract_z
Zn1 0.0000 0.0000 0.2352
Zn2 0.2500 0.2500 0.2500
Ag1 0.0000 0.1520 0.5000
Ag2 0.0000 0.1972 0.0000
Ag3 0.0000 0.5000 0.1497
Bi1 0.0000 0.5000 0.5000
```

VASP energy = -2.22 eV per atom
energy of formation = -25 kJ/mol of formula units
calculated volume = 453.2 Å³/cell

9.
The following is a PBE calculation of a geometry-optimized HfCr3Rh structure, from the Alexandria database.

```
data_HfCr3Rh
_space_group_name_H-M_alt 'P m -3 m'
_space_group_IT_number 221
_space_group_name_Hall '-P 4 2 3'
_cell_length_a 4.4147
_cell_length_b 4.4147
_cell_length_c 4.4147
_cell_angle_alpha 90.00
_cell_angle_beta 90.00
_cell_angle_gamma 90.00
loop_
_atom_site_label
_atom_site_fract_x
_atom_site_fract_y
_atom_site_fract_z
Hf1 0.0000 0.0000 0.0000
Cr1 0.0000 0.0000 0.5000
Rh1 0.5000 0.5000 0.5000
```

VASP energy = -7.16 eV per atom
polymorph energy (0 for the lowest one) = 0.914 eV/atom
energy of formation = 1002 kJ/mol of formula units
calculated volume = 86.0 Å³/cell

10.
The following is a PBE calculation of a geometry-optimized BaPdPb3 structure, from the Alexandria database.

```
data_BaPdPb3
_space_group_name_H-M_alt 'P m -3 m'
_space_group_IT_number 221
_space_group_name_Hall '-P 4 2 3'
_cell_length_a 5.5054
_cell_length_b 5.5054
_cell_length_c 5.5054
_cell_angle_alpha 90.00
_cell_angle_beta 90.00
_cell_angle_gamma 90.00
loop_
_atom_site_label
_atom_site_fract_x
_atom_site_fract_y
_atom_site_fract_z
Ba1 0.0000 0.0000 0.0000
Pd1 0.5000 0.5000 0.5000
Pb1 0.0000 0.5000 0.5000
```

VASP energy = -3.87 eV per atom
energy of formation = -105 kJ/mol of formula units
calculated volume = 166.9 Å³/cell

11.
The following is a PBE calculation of a geometry-optimized Mg4Tl5 structure, from the Alexandria database.

```
data_Mg4Tl5
_space_group_name_H-M_alt 'I 4/m m m'
_space_group_IT_number 139
_space_group_name_Hall '-I 4 2'
_cell_length_a 10.2842
_cell_length_b 10.2842
_cell_length_c 4.4516
_cell_angle_alpha 90.00
_cell_angle_beta 90.00
_cell_angle_gamma 90.00
loop_
_atom_site_label
_atom_site_fract_x
_atom_site_fract_y
_atom_site_fract_z
Mg1 0.1646 0.1646 0.0000
Tl1 0.0000 0.0000 0.5000
Tl2 0.0000 0.3226 0.5000
```

VASP energy = -2.02 eV per atom
polymorph energy (0 for the lowest one) = 0.005 eV/atom
energy of formation = 7 kJ/mol of formula units
calculated volume = 470.8 Å³/cell

12.
The following is a PBE calculation of a geometry-optimized Er2PuPd3 structure, from the Alexandria database.

```
data_Er2PuPd3
_space_group_name_H-M_alt 'P 4/m m m'
_space_group_IT_number 123
_space_group_name_Hall '-P 4 2'
_cell_length_a 3.4403
_cell_length_b 3.4403
_cell_length_c 10.7927
_cell_angle_alpha 90.00
_cell_angle_beta 90.00
_cell_angle_gamma 90.00
loop_
_atom_site_label
_atom_site_fract_x
_atom_site_fract_y
_atom_site_fract_z
Er1 0.0000 0.0000 0.1650
Pu1 0.0000 0.0000 0.5000
Pd1 0.5000 0.5000 0.0000
Pd2 0.5000 0.5000 0.3165
```

VASP energy = -7.26 eV per atom
energy of formation = -436 kJ/mol of formula units
calculated volume = 127.7 Å³/cell

For each record above, in turn, the calculated M_tot values are 0.00, 0.00, 0.00, 0.00, 1.85, 0.00, 1.00, 0.00, 0.00, 0.00, 0.00, 5.87 μB/cell.
For each record above, in turn, the calculated Fermi-level density of states values are 2.05, 7.10, 5.25, 3.32, 3.80, 1.58, 24.03, 5.25, 9.10, 1.66, 4.45, 11.50 states/eV/f.u..